[1]
Density functional theory data (PBE-GGA) for crystalline Sr2Hg at its relaxed geometry.

POSCAR file:
```
Sr2Hg
1.0
8.3974 -0.0113 0.0503
7.3267 4.1033 0.0503
2.7490 0.7154 7.2654
Sr Hg
4 2
Direct
0.6872 0.6872 0.5703
0.9493 0.9493 0.5663
0.2573 0.2573 0.0409
0.9952 0.9952 0.0448
0.3541 0.3541 0.3620
0.5903 0.5903 0.2491
```

Computed properties:
Its density of states at the Fermi level is 2.84 states/eV/f.u. The space group is C2/m (12). The formation energy is -0.35 eV per atom. The calculation puts the raw total energy at -9.42 eV for the cell shown.

=====

[2]
Density functional theory data (PBE-GGA) for crystalline KErMg4 at its relaxed geometry.

POSCAR file:
```
KErMg4
1.0
6.2436 0.0000 0.0000
3.1218 5.4071 0.0000
3.1218 1.8024 5.0979
K Mg Er
1 4 1
Direct
0.2500 0.2500 0.2500
0.6262 0.6262 0.1215
0.1215 0.6262 0.6262
0.6262 0.6262 0.6262
0.6262 0.1215 0.6262
0.0000 0.0000 0.0000
```

Computed properties:
Its density of states at the Fermi level is 6.09 states/eV/f.u. The space group is F-43m (216). The formation energy is 0.15 eV per atom. The calculation puts the raw total energy at -11.14 eV for the cell shown.

=====

[3]
Density functional theory data (PBE-GGA) for crystalline TmSc4Te2 at its relaxed geometry.

POSCAR file:
```
TmSc4Te2
1.0
6.0004 0.0000 0.0000
0.0000 7.3872 -3.0411
0.0000 -0.1280 7.7559
Te Sc Tm
4 8 2
Direct
0.2500 0.6344 0.5962
0.7500 0.7601 0.9996
0.7500 0.3656 0.4038
0.2500 0.2399 0.0004
0.2500 0.2364 0.3684
0.7500 0.0091 0.4137
0.4987 0.6001 0.2332
0.2500 0.9909 0.5863
0.7500 0.7636 0.6316
0.0013 0.6001 0.2332
0.9987 0.3999 0.7668
0.5013 0.3999 0.7668
0.2500 0.8522 0.0193
0.7500 0.1478 0.9807
```

Computed properties:
The calculation puts the uncorrected formation energy at -15.115 kcal/mol of atoms. Its density of states at the Fermi level is 7.02 states/eV/f.u. The space group is P2_1/m (11). The calculation puts the raw total energy at -81.34 eV for the cell shown.

=====

[4]
Density functional theory data (PBE-GGA) for crystalline Er4Tl3Cd at its relaxed geometry.

POSCAR file:
```
Er4Tl3Cd
1.0
-1.8795 -2.6633 1.9280
3.0993 -3.3396 -1.5920
6.9747 1.9484 9.4907
Cd Tl Er
1 3 4
Direct
0.5000 0.5000 0.0812
0.0000 0.0000 0.4132
0.5000 0.0000 0.9180
0.0000 0.5000 0.5887
0.5000 0.5000 0.3440
0.0000 0.5000 0.8501
0.0000 0.0000 0.1519
0.5000 0.0000 0.6530
```

Computed properties:
Its density of states at the Fermi level is 6.25 states/eV/f.u. The space group is Pmm2 (25). The calculation puts the distance to the lowest polymorph of the same formula at 44.7 meV/atom. The formation energy is -0.27 eV per atom. The calculation puts the raw total energy at -28.45 eV for the cell shown.

=====

[5]
Density functional theory data (PBE-GGA) for crystalline Na4Tm3TiO8 at its relaxed geometry.

POSCAR file:
```
Na4Tm3TiO8
1.0
6.5904 0.0005 0.0001
0.0005 6.7150 0.0816
-3.2954 -3.2913 4.6630
Tm O Na Ti
3 8 4 1
Direct
0.0000 0.5000 0.5000
0.5000 0.5000 0.5000
0.5000 0.5000 0.0000
0.2629 0.2886 0.5257
0.7491 0.7056 0.9773
0.2509 0.2944 0.0227
0.7371 0.7114 0.4743
0.2284 0.7057 0.9773
0.7717 0.2944 0.5434
0.2283 0.7056 0.4566
0.7716 0.2943 0.0227
0.0000 0.0000 0.0000
0.5000 0.0000 0.5000
0.0000 0.0000 0.5000
0.5000 0.0000 0.0000
0.0000 0.5000 0.0000
```

Computed properties:
The calculation puts the uncorrected formation energy at -62.604 kcal/mol of atoms. Its density of states at the Fermi level is 6.32 states/eV/f.u. The space group is R-3m (166). The calculation puts the raw total energy at -109.69 eV for the cell shown.

=====

[6]
Density functional theory data (PBE-GGA) for crystalline RbLiCe2Br8 at its relaxed geometry.

POSCAR file:
```
RbLiCe2Br8
1.0
7.2672 0.3677 -0.0059
0.4907 7.0394 -0.0087
0.0067 0.0108 9.1151
Ce Br Rb Li
2 8 1 1
Direct
0.5000 0.5000 0.7598
0.5000 0.5000 0.2402
0.3505 0.2815 0.0000
0.1686 0.7616 0.7912
0.6334 0.7087 0.5000
0.8314 0.2384 0.2088
0.1685 0.7616 0.2088
0.8315 0.2384 0.7912
0.6495 0.7185 0.0000
0.3666 0.2913 0.5000
0.0000 0.0000 0.5000
0.0000 0.0000 0.0000
```

Computed properties:
The calculation puts the uncorrected formation energy at -39.655 kcal/mol of atoms. Its density of states at the Fermi level is 16.18 states/eV/f.u. The space group is P2/m (10). The calculation puts the raw total energy at -48.77 eV for the cell shown.

=====

[7]
Density functional theory data (PBE-GGA) for crystalline Rb3LaU3Te8 at its relaxed geometry.

POSCAR file:
```
Rb3LaU3Te8
1.0
-8.7404 2.4224 0.2723
2.8996 -5.8217 -6.3268
-0.6920 -3.5613 9.4716
U Te Rb La
3 8 3 1
Direct
0.0000 0.5000 0.5000
0.5000 0.0000 0.5000
0.5000 0.5000 0.5000
0.2665 0.5330 0.2997
0.2405 0.9621 0.7025
0.7594 0.5188 0.2974
0.7335 0.4670 0.7003
0.7216 0.9621 0.7025
0.2406 0.4812 0.7026
0.7595 0.0379 0.2975
0.2784 0.0379 0.2975
0.5000 0.5000 0.0000
0.0000 0.0000 0.0000
0.0000 0.5000 0.0000
0.0000 0.0000 0.5000
```

Computed properties:
The calculation puts the uncorrected formation energy at -22.397 kcal/mol of atoms. Its density of states at the Fermi level is 23.34 states/eV/f.u. The space group is R-3m (166). The calculation puts the raw total energy at -81.40 eV for the cell shown.

=====

[8]
Density functional theory data (PBE-GGA) for crystalline BeTe2SeN at its relaxed geometry.

POSCAR file:
```
BeTe2SeN
1.0
-0.9220 -2.1499 5.1221
-2.1229 -4.6617 -2.3388
3.3287 -1.5005 -0.0306
N Te Se Be
1 2 1 1
Direct
0.0000 0.0000 0.5000
0.0000 0.5000 0.0000
0.5000 0.0000 0.0000
0.0000 0.0000 0.0000
0.5000 0.5000 0.5000
```

Computed properties:
The calculation puts the uncorrected formation energy at 29.497 kcal/mol of atoms. Its density of states at the Fermi level is 2.78 states/eV/f.u. The space group is P4/mmm (123). The calculation puts the distance to the lowest polymorph of the same formula at 817.2 meV/atom. The calculation puts the raw total energy at -15.42 eV for the cell shown.